# 1
Here is a relaxed structure of KIrOs from the Alexandria database. Energies are from PBE-GGA.

## Properties
**E_tot**: -19.56 eV per cell
**DFT formation energy**: 0.542 eV/atom

Unit cell a=6.580 b=6.580 c=6.580 alpha=156.20 beta=144.30 gamma=43.36
Fractional positions:
Os 0.615 0.615 0.000
Ir 0.051 0.051 0.000
K 0.334 0.334 0.000

---

# 2
Here is a relaxed structure of Cu2PbAu2 from the Alexandria database. Energies are from PBE-GGA.

## Properties
**E_tot**: -18.03 eV per cell
**DFT formation energy**: 0.085 eV/atom

Unit cell a=3.996 b=3.996 c=6.599 alpha=72.38 beta=72.38 gamma=90.00
Fractional positions:
Cu 0.601 0.601 0.797
Cu 0.399 0.399 0.203
Au 0.250 0.750 0.500
Au 0.750 0.250 0.500
Pb 0.000 0.000 0.000

---

# 3
Here is a relaxed structure of Y2TcC2 from the Alexandria database. Energies are from PBE-GGA.

## Properties
**E_tot**: -174.84 eV per cell
**DFT formation energy**: -0.394 eV/atom

Unit cell a=5.117 b=6.583 c=9.911 alpha=90.00 beta=90.00 gamma=90.00
Fractional positions:
Y 0.750 0.533 0.216
Y 0.250 0.467 0.784
Y 0.250 0.322 0.443
Y 0.250 0.822 0.057
Y 0.750 0.678 0.557
Y 0.750 0.033 0.284
Y 0.250 0.967 0.716
Y 0.750 0.178 0.943
C 0.750 0.820 0.047
C 0.750 0.452 0.759
C 0.250 0.048 0.259
C 0.250 0.180 0.953
C 0.750 0.320 0.453
C 0.750 0.952 0.741
C 0.250 0.548 0.241
C 0.250 0.680 0.547
Tc 0.750 0.220 0.635
Tc 0.250 0.280 0.135
Tc 0.750 0.720 0.865
Tc 0.250 0.780 0.365

---

# 4
Here is a relaxed structure of SrDy3Al8 from the Alexandria database. Energies are from PBE-GGA.

## Properties
**E_tot**: -50.55 eV per cell
**DFT formation energy**: -0.426 eV/atom

Unit cell a=5.617 b=5.617 c=9.769 alpha=73.29 beta=73.29 gamma=60.00
Fractional positions:
Al 0.687 0.687 0.938
Al 0.439 0.439 0.180
Al 0.439 0.942 0.180
Al 0.937 0.433 0.694
Al 0.942 0.439 0.180
Al 0.433 0.937 0.694
Al 0.187 0.187 0.438
Al 0.937 0.937 0.694
Dy 0.000 0.000 0.001
Dy 0.500 0.500 0.501
Dy 0.375 0.375 0.874
Sr 0.875 0.875 0.375

---

# 5
Here is a relaxed structure of Rb3U3AuSe8 from the Alexandria database. Energies are from PBE-GGA.

## Properties
**Energy relative to the elements, uncorrected**: -1.057 eV/atom
**E_tot**: -83.77 eV per cell

Unit cell a=8.300 b=8.298 c=9.453 alpha=116.03 beta=90.00 gamma=120.01
Fractional positions:
Se 0.267 0.533 0.302
Se 0.761 0.044 0.306
Se 0.282 0.044 0.306
Se 0.239 0.479 0.694
Se 0.761 0.521 0.306
Se 0.239 0.956 0.694
Se 0.718 0.956 0.694
Se 0.733 0.467 0.698
U 0.000 0.500 0.500
U 0.500 0.500 0.500
U 0.500 0.000 0.500
Rb 0.500 0.500 0.000
Rb 0.000 0.000 0.000
Rb 0.000 0.500 0.000
Au 0.000 0.000 0.500

---

# 6
Here is a relaxed structure of Ac2PaGa from the Alexandria database. Energies are from PBE-GGA.

## Properties
**E_tot**: -19.95 eV per cell
**DFT formation energy**: 0.198 eV/atom

Unit cell a=4.823 b=5.083 c=5.083 alpha=90.00 beta=90.00 gamma=90.00
Fractional positions:
Ga 0.500 0.500 0.500
Ac 0.000 0.500 0.000
Ac 0.000 0.000 0.500
Pa 0.500 0.000 0.000

---

# 7
Here is a relaxed structure of Mg4Cd3Hg from the Alexandria database. Energies are from PBE-GGA.

## Properties
**E_tot**: -20.94 eV per cell
**DFT formation energy**: -0.131 eV/atom

Unit cell a=5.225 b=6.519 c=10.119 alpha=90.00 beta=90.00 gamma=90.00
Fractional positions:
Mg 0.113 0.748 0.750
Mg 0.887 0.252 0.250
Mg 0.113 0.252 0.750
Mg 0.887 0.748 0.250
Mg 0.500 0.251 0.500
Mg 0.500 0.251 0.000
Mg 0.500 0.749 0.500
Mg 0.500 0.749 0.000
Cd 0.383 0.000 0.250
Cd 0.000 0.000 0.500
Cd 0.617 0.000 0.750
Cd 0.000 0.000 0.000
Cd 0.388 0.500 0.250
Cd 0.612 0.500 0.750
Hg 0.000 0.500 0.000
Hg 0.000 0.500 0.500

---

# 8
Here is a relaxed structure of VPt3Br from the Alexandria database. Energies are from PBE-GGA.

## Properties
**Energy relative to the elements, uncorrected**: 1.231 eV/atom
**E_tot**: -22.76 eV per cell

Unit cell a=4.719 b=4.719 c=4.719 alpha=90.00 beta=90.00 gamma=90.00
Fractional positions:
Pt 0.000 0.000 0.500
Pt 0.500 0.000 0.000
Pt 0.000 0.500 0.000
Br 0.000 0.000 0.000
V 0.500 0.500 0.500

---

no.,size of the total moment (μB per cell)
1,0.00
2,0.00
3,0.00
4,0.00
5,5.99
6,1.07
7,0.00
8,3.39